Entry from the Alexandria database: Re2WBr after structural relaxation (PBE-GGA).

Summary:
total moment	0.000	μB/atom
mass density	12.50	g cm⁻³
energy above the most stable polymorph in this dataset	229.2	meV per atom
energy relative to the elements, uncorrected	0.84	eV per atom

Cell: 3.001 3.691 7.631 Å, 90.00 90.00 90.00°
Atoms (fractional coordinates):
Re: 0.500 0.500 0.247
Re: 0.000 0.000 0.124
W: 0.000 0.000 0.445
Br: 0.500 0.500 0.683